[1]
Computed, not measured: an optimized crystal structure of PuGe2Mo4 at the PBE level of DFT.

Lattice parameters (Å, degrees): 4.334 3.400 8.555 101.46 90.00 90.00
Site moments in Bohr magnetons follow the coordinates.
Element x y z (fractional)
1 Mo 0.000 0.680 0.360  -0.09
2 Mo 0.500 0.188 0.376  0.03
3 Mo 0.000 0.320 0.640  -0.09
4 Mo 0.500 0.812 0.624  0.03
5 Ge 0.500 0.424 0.848  -0.02
6 Ge 0.500 0.576 0.152  -0.02
7 Pu 0.000 0.000 0.000  5.16

Results
DFT total energy (eV per cell): -67.542
ΔE_f (eV/atom): -0.09
DOS at the Fermi energy (states/eV/atom): 1.16
Size of the total moment (μB/cell): 5.3

=====

[2]
Computed, not measured: an optimized crystal structure of Pu2GeMo at the PBE level of DFT.

Lattice parameters (Å, degrees): 3.775 3.775 5.680 90.00 90.00 90.00
Site moments in Bohr magnetons follow the coordinates.
Element x y z (fractional)
1 Ge 0.500 0.500 0.500  -0.08
2 Pu 0.000 0.000 0.258  4.84
3 Pu 0.000 0.000 0.742  4.84
4 Mo 0.500 0.500 0.000  -1.03

Results
DFT total energy (eV per cell): -44.427
ΔE_f (eV/atom): -0.08
DOS at the Fermi energy (states/eV/atom): 2.51
Size of the total moment (μB/cell): 8.6

=====

[3]
Computed, not measured: an optimized crystal structure of RbGeMo3 at the PBE level of DFT.

Lattice parameters (Å, degrees): 4.734 4.734 4.734 90.00 90.00 90.00
Site moments in Bohr magnetons follow the coordinates.
Element x y z (fractional)
1 Mo 0.500 0.000 0.000  0.71
2 Mo 0.000 0.500 0.000  0.56
3 Mo 0.000 0.000 0.500  0.81
4 Ge 0.500 0.500 0.500  0.02
5 Rb 0.000 0.000 0.000  0.03

Results
DFT total energy (eV per cell): -21.569
ΔE_f (eV/atom): 3.30
DOS at the Fermi energy (states/eV/atom): 1.65
Size of the total moment (μB/cell): 2.4

=====

[4]
Computed, not measured: an optimized crystal structure of Rb2GeMo2 at the PBE level of DFT.

Lattice parameters (Å, degrees): 10.744 10.744 2.998 90.00 90.00 90.00
Element x y z (fractional)
1 Rb 0.286 0.786 0.000
2 Rb 0.786 0.714 0.000
3 Rb 0.214 0.286 0.000
4 Rb 0.714 0.214 0.000
5 Mo 0.569 0.931 0.500
6 Mo 0.069 0.569 0.500
7 Mo 0.431 0.069 0.500
8 Mo 0.931 0.431 0.500
9 Ge 0.500 0.500 0.000
10 Ge 0.000 0.000 0.000

Results
DFT total energy (eV per cell): -42.488
ΔE_f (eV/atom): 1.39
DOS at the Fermi energy (states/eV/atom): 0.98
Size of the total moment (μB/cell): 0.0

=====

[5]
Computed, not measured: an optimized crystal structure of RbGe2Mo at the PBE level of DFT.

Lattice parameters (Å, degrees): 4.185 4.185 8.758 76.18 76.18 60.00
Site moments in Bohr magnetons follow the coordinates.
Element x y z (fractional)
1 Ge 0.870 0.870 0.391  -0.05
2 Ge 0.130 0.130 0.609  -0.05
3 Mo 0.500 0.500 0.500  0.99
4 Rb 0.000 0.000 0.000  0.00

Results
DFT total energy (eV per cell): -19.033
ΔE_f (eV/atom): 0.50
DOS at the Fermi energy (states/eV/atom): 0.43
Size of the total moment (μB/cell): 1.0

=====

[6]
Computed, not measured: an optimized crystal structure of Rb2GeMo2 at the PBE level of DFT.

Lattice parameters (Å, degrees): 3.522 3.522 12.694 82.02 82.02 90.00
Site moments in Bohr magnetons follow the coordinates.
Element x y z (fractional)
1 Ge 0.000 0.000 0.000  0.16
2 Mo 0.750 0.250 0.500  0.02
3 Mo 0.250 0.750 0.500  0.02
4 Rb 0.607 0.607 0.785  0.01
5 Rb 0.393 0.393 0.215  0.01

Results
DFT total energy (eV per cell): -23.693
ΔE_f (eV/atom): 0.90
DOS at the Fermi energy (states/eV/atom): 0.93
Size of the total moment (μB/cell): 0.6

=====

[7]
Computed, not measured: an optimized crystal structure of RbGeMo3 at the PBE level of DFT.

Lattice parameters (Å, degrees): 4.871 4.871 4.871 90.00 90.00 90.00
Site moments in Bohr magnetons follow the coordinates.
Element x y z (fractional)
1 Mo 0.000 0.000 0.500  0.80
2 Mo 0.500 0.000 0.000  0.81
3 Mo 0.000 0.500 0.000  0.73
4 Ge 0.000 0.000 0.000  -0.03
5 Rb 0.500 0.500 0.500  0.05

Results
DFT total energy (eV per cell): -28.970
ΔE_f (eV/atom): 1.82
DOS at the Fermi energy (states/eV/atom): 1.48
Size of the total moment (μB/cell): 2.8

=====

[8]
Computed, not measured: an optimized crystal structure of RbGe2Mo at the PBE level of DFT.

Lattice parameters (Å, degrees): 6.293 6.293 8.567 68.45 68.45 90.00
Site moments in Bohr magnetons follow the coordinates.
Element x y z (fractional)
1 Mo 0.000 0.000 0.000  0.67
2 Mo 0.750 0.250 0.500  0.67
3 Ge 0.876 0.625 0.250  0.00
4 Ge 0.375 0.126 0.750  -0.01
5 Ge 0.874 0.125 0.250  -0.01
6 Ge 0.875 0.124 0.750  -0.01
7 Rb 0.500 0.500 0.000  0.00
8 Rb 0.250 0.750 0.500  0.00

Results
DFT total energy (eV per cell): -39.303
ΔE_f (eV/atom): 0.35
DOS at the Fermi energy (states/eV/atom): 0.58
Size of the total moment (μB/cell): 1.8

=====

[9]
Computed, not measured: an optimized crystal structure of RbGe2Mo at the PBE level of DFT.

Lattice parameters (Å, degrees): 4.989 4.989 4.989 60.00 60.00 60.00
Site moments in Bohr magnetons follow the coordinates.
Element x y z (fractional)
1 Rb 0.000 0.000 0.000  0.01
2 Mo 0.500 0.500 0.500  2.28
3 Ge 0.250 0.250 0.250  -0.06
4 Ge 0.750 0.750 0.750  -0.06

Results
DFT total energy (eV per cell): -17.284
ΔE_f (eV/atom): 0.94
DOS at the Fermi energy (states/eV/atom): 0.71
Size of the total moment (μB/cell): 2.5

=====

[10]
Computed, not measured: an optimized crystal structure of RbGeMoRh2 at the PBE level of DFT.

Lattice parameters (Å, degrees): 4.768 4.972 4.768 90.00 90.00 90.00
Site moments in Bohr magnetons follow the coordinates.
Element x y z (fractional)
1 Ge 0.000 0.000 0.000  -0.04
2 Rh 0.000 0.000 0.500  0.28
3 Rh 0.500 0.000 0.000  0.23
4 Rb 0.500 0.500 0.500  0.04
5 Mo 0.000 0.500 0.000  2.74

Results
DFT total energy (eV per cell): -26.587
ΔE_f (eV/atom): 0.91
DOS at the Fermi energy (states/eV/atom): 0.92
Size of the total moment (μB/cell): 3.9

=====

[11]
Computed, not measured: an optimized crystal structure of RbSn2GeMo at the PBE level of DFT.

Lattice parameters (Å, degrees): 5.351 5.351 5.018 90.00 90.00 90.00
Element x y z (fractional)
1 Ge 0.000 0.000 0.500
2 Mo 0.000 0.000 0.000
3 Rb 0.500 0.500 0.500
4 Sn 0.000 0.500 0.000
5 Sn 0.500 0.000 0.000

Results
DFT total energy (eV per cell): -24.033
ΔE_f (eV/atom): 0.08
DOS at the Fermi energy (states/eV/atom): 0.46
Size of the total moment (μB/cell): 0.0

=====

[12]
Computed, not measured: an optimized crystal structure of Rb2SrGeMo at the PBE level of DFT.

Lattice parameters (Å, degrees): 7.555 5.565 7.555 90.00 90.00 90.00
Site moments in Bohr magnetons follow the coordinates.
Element x y z (fractional)
1 Mo 0.500 0.500 0.500  4.09
2 Ge 0.000 0.500 0.000  0.05
3 Sr 0.000 0.000 0.000  0.01
4 Rb 0.000 0.000 0.500  0.00
5 Rb 0.500 0.000 0.000  0.00

Results
DFT total energy (eV per cell): -11.754
ΔE_f (eV/atom): 1.46
DOS at the Fermi energy (states/eV/atom): 0.79
Size of the total moment (μB/cell): 5.7

=====

Q: Which of these has the highest size of the total moment?
A: Pu2GeMo

=====

Q: Among the records above, which one has the lowest ΔE_f?
A: PuGe2Mo4

=====

Q: The lowest DOS at the Fermi energy belongs to which entry?
A: number 5